VASP calculation (GGA+U) on a geometry-optimized HWO2F structure.

Unit cell a=3.7770 b=3.7770 c=2.7230 alpha=90.00 beta=90.00 gamma=90.00
Last column: nearest neighbours and their distance in Å.
Space group P4/mmm (No. 123)
Asymmetric unit:
H (0.0000, 0.0000, 0.0000) x1  2 F 1.36
W (0.5000, 0.5000, 0.5000) x1  8 O 2.33
O (0.0000, 0.5000, 0.0000) x2  2 H 1.89
F (0.0000, 0.0000, 0.5000) x1  2 H 1.36

The value obtained for the final energy is -4.994 eV/atom.